{
  "formula": "Ta2Nb3Mo6",
  "functional": "PBE-GGA",
  "state": "optimized geometry",
  "lattice_angstrom": [[-1.3018, -0.1665, 2.7884], [5.0688, -6.3228, 1.9890], [7.1565, 2.4959, 3.4903]],
  "species": ["Nb", "Ta", "Mo", "Mo", "Mo", "Mo", "Nb", "Ta", "Nb", "Mo", "Mo"],
  "fractional_positions": [[0.0000, 0.8087, 0.8087], [0.0000, 0.7476, 0.2524], [0.5000, 0.5863, 0.0901], [0.5000, 0.4040, 0.4040], [0.5000, 0.0901, 0.5863], [0.5000, 0.4137, 0.9099], [0.0000, 0.1913, 0.1913], [0.0000, 0.2524, 0.7476], [0.5000, 0.0000, 0.0000], [0.5000, 0.9099, 0.4137], [0.5000, 0.5960, 0.5960]],
  "m_tot_mub_per_fu": 0.00,
  "dos_at_fermi_per_ev_cell": 10.53,
  "delta_e_f_kj_per_mol_atoms": 39.7
}

{
  "formula": "Ta6NbMo",
  "functional": "PBE-GGA",
  "state": "optimized geometry",
  "lattice_angstrom": [[4.6401, 0.0000, 0.0000], [0.0000, 5.4049, -1.8813], [0.0000, 0.0126, 5.7230]],
  "species": ["Ta", "Ta", "Ta", "Ta", "Mo", "Ta", "Nb", "Ta"],
  "fractional_positions": [[0.5000, 0.1250, 0.3751], [0.5000, 0.6249, 0.8750], [0.0000, 0.3675, 0.1174], [0.0000, 0.8714, 0.1286], [0.5000, 0.1250, 0.8750], [0.0000, 0.8826, 0.6325], [0.5000, 0.6250, 0.3750], [0.0000, 0.3787, 0.6213]],
  "m_tot_mub_per_fu": 0.00,
  "e_above_lowest_polymorph_ev_per_fu": 0.000,
  "dos_at_fermi_per_ev_cell": 12.04,
  "delta_e_f_kj_per_mol_atoms": -3.3
}

{
  "formula": "Ta3Nb6Mo",
  "functional": "PBE-GGA",
  "state": "optimized geometry",
  "lattice_angstrom": [[5.4042, 0.0000, -0.0238], [0.0000, 7.6367, 0.0000], [0.0393, 0.0000, 9.3307]],
  "species": ["Mo", "Ta", "Mo", "Ta", "Nb", "Nb", "Nb", "Nb", "Nb", "Nb", "Nb", "Nb", "Ta", "Nb", "Ta", "Ta", "Ta", "Nb", "Nb", "Nb"],
  "fractional_positions": [[0.0000, 0.0000, 0.0000], [0.2948, 0.1581, 0.2491], [0.5000, 0.5000, 0.5000], [0.7949, 0.3419, 0.7491], [0.7207, 0.4433, 0.2547], [0.9582, 0.6618, 0.5181], [0.5418, 0.1619, 0.9819], [0.4582, 0.8381, 0.0181], [0.0371, 0.3333, 0.0195], [0.4629, 0.8333, 0.4805], [0.5371, 0.1667, 0.5195], [0.0418, 0.3382, 0.4819], [0.0000, 0.0000, 0.5000], [0.7793, 0.9433, 0.2453], [0.2051, 0.6581, 0.2509], [0.5000, 0.5000, 0.0000], [0.7052, 0.8419, 0.7509], [0.2793, 0.5567, 0.7453], [0.2207, 0.0567, 0.7547], [0.9629, 0.6667, 0.9805]],
  "m_tot_mub_per_fu": 0.00,
  "e_above_lowest_polymorph_ev_per_fu": 4.700,
  "dos_at_fermi_per_ev_cell": 18.78,
  "delta_e_f_kj_per_mol_atoms": 41.1
}

{
  "formula": "Ta2NbMo",
  "functional": "PBE-GGA",
  "state": "optimized geometry",
  "lattice_angstrom": [[7.3527, 0.0000, 0.0000], [0.0000, 7.3527, 0.0000], [3.6764, 3.6764, 2.7996]],
  "species": ["Mo", "Ta", "Ta", "Nb", "Ta", "Ta", "Nb", "Mo"],
  "fractional_positions": [[0.7500, 0.2500, 0.5000], [0.6401, 0.1250, 0.2500], [0.8750, 0.8901, 0.7500], [0.5000, 0.5000, 0.0000], [0.3750, 0.3599, 0.7500], [0.1099, 0.6250, 0.2500], [0.2500, 0.7500, 0.5000], [0.0000, 0.0000, 0.0000]],
  "m_tot_mub_per_fu": 0.00,
  "e_above_lowest_polymorph_ev_per_fu": 3.081,
  "dos_at_fermi_per_ev_cell": 7.73,
  "delta_e_f_kj_per_mol_atoms": 63.9
}

{
  "formula": "Ta4Nb3Mo",
  "functional": "PBE-GGA",
  "state": "optimized geometry",
  "lattice_angstrom": [[-3.0851, 0.0530, 1.1121], [0.5085, -2.8474, 1.5464], [4.0136, 6.5928, 10.8200]],
  "species": ["Nb", "Ta", "Ta", "Mo", "Ta", "Nb", "Nb", "Ta"],
  "fractional_positions": [[0.5000, 0.5000, 0.7521], [0.0000, 0.0000, 0.6271], [0.0000, 0.0000, 0.3729], [0.5000, 0.5000, 0.0000], [0.0000, 0.0000, 0.8811], [0.5000, 0.5000, 0.5000], [0.5000, 0.5000, 0.2479], [0.0000, 0.0000, 0.1189]],
  "m_tot_mub_per_fu": 0.00,
  "e_above_lowest_polymorph_ev_per_fu": 0.000,
  "dos_at_fermi_per_ev_cell": 10.62,
  "delta_e_f_kj_per_mol_atoms": -5.7
}

{
  "formula": "Ta4Nb3Mo2",
  "functional": "PBE-GGA",
  "state": "optimized geometry",
  "lattice_angstrom": [[4.7492, 0.0559, 2.9540], [0.9749, 7.1214, 1.8083], [2.8480, 0.3197, 11.2120]],
  "species": ["Nb", "Ta", "Ta", "Ta", "Nb", "Nb", "Nb", "Mo", "Ta", "Ta", "Ta", "Ta", "Mo", "Mo", "Ta", "Nb", "Nb", "Mo"],
  "fractional_positions": [[0.1397, 0.8415, 0.2760], [0.8053, 0.8320, 0.6116], [0.1947, 0.1680, 0.3884], [0.3675, 0.1750, 0.7158], [0.8603, 0.1585, 0.7240], [0.2443, 0.4918, 0.5059], [0.4685, 0.8239, 0.9475], [0.3057, 0.8324, 0.6119], [0.0170, 0.1619, 0.0635], [0.9830, 0.8381, 0.9365], [0.5900, 0.5032, 0.1612], [0.6325, 0.8250, 0.2842], [0.6943, 0.1676, 0.3881], [0.9208, 0.5022, 0.8320], [0.4100, 0.4968, 0.8388], [0.7557, 0.5082, 0.4941], [0.5315, 0.1761, 0.0525], [0.0792, 0.4978, 0.1680]],
  "m_tot_mub_per_fu": 0.00,
  "dos_at_fermi_per_ev_cell": 18.06,
  "delta_e_f_kj_per_mol_atoms": -7.5
}

{
  "formula": "TaNb5Mo4",
  "functional": "PBE-GGA",
  "state": "optimized geometry",
  "lattice_angstrom": [[-3.0744, 0.9778, 0.3106], [-0.2803, -1.7443, 2.7172], [4.9675, 12.8386, 8.7540]],
  "species": ["Nb", "Nb", "Nb", "Mo", "Mo", "Nb", "Nb", "Mo", "Mo", "Ta"],
  "fractional_positions": [[0.5000, 0.5000, 0.6973], [0.5000, 0.5000, 0.3027], [0.5000, 0.5000, 0.1058], [0.0000, 0.0000, 0.4010], [0.0000, 0.0000, 0.5990], [0.5000, 0.5000, 0.5000], [0.5000, 0.5000, 0.8942], [0.0000, 0.0000, 0.2023], [0.0000, 0.0000, 0.7977], [0.0000, 0.0000, 0.0000]],
  "m_tot_mub_per_fu": 0.00,
  "dos_at_fermi_per_ev_cell": 8.99,
  "delta_e_f_kj_per_mol_atoms": -11.1
}

{
  "formula": "Ta2NbMo",
  "functional": "PBE-GGA",
  "state": "optimized geometry",
  "lattice_angstrom": [[3.2777, 0.0000, 0.0000], [0.0000, 4.6203, 0.0000], [0.0000, 0.0000, 4.6203]],
  "species": ["Ta", "Ta", "Nb", "Mo"],
  "fractional_positions": [[0.0000, 0.0000, 0.5000], [0.0000, 0.5000, 0.0000], [0.5000, 0.0000, 0.0000], [0.5000, 0.5000, 0.5000]],
  "m_tot_mub_per_fu": 0.00,
  "e_above_lowest_polymorph_ev_per_fu": 0.061,
  "dos_at_fermi_per_ev_cell": 4.43,
  "delta_e_f_kj_per_mol_atoms": -8.9
}

{
  "formula": "TaNb12Mo7",
  "functional": "PBE-GGA",
  "state": "optimized geometry",
  "lattice_angstrom": [[6.9159, 1.0630, 1.5956], [-0.9019, 6.9387, 1.5956], [-0.9019, -1.2000, 7.0179]],
  "species": ["Nb", "Nb", "Mo", "Nb", "Mo", "Mo", "Nb", "Nb", "Mo", "Nb", "Nb", "Ta", "Nb", "Nb", "Nb", "Mo", "Nb", "Mo", "Mo", "Nb"],
  "fractional_positions": [[0.1319, 0.7179, 0.2572], [0.2821, 0.7428, 0.8681], [0.6324, 0.9536, 0.8694], [0.5080, 0.6237, 0.1434], [0.5000, 0.5000, 0.5000], [0.3676, 0.0464, 0.1306], [0.8566, 0.4920, 0.3763], [0.7179, 0.2572, 0.1319], [0.8694, 0.6324, 0.9536], [0.2572, 0.1319, 0.7179], [0.4920, 0.3763, 0.8566], [0.0000, 0.0000, 0.0000], [0.6237, 0.1434, 0.5080], [0.8681, 0.2821, 0.7428], [0.7428, 0.8681, 0.2821], [0.9536, 0.8694, 0.6324], [0.3763, 0.8566, 0.4920], [0.1306, 0.3676, 0.0464], [0.0464, 0.1306, 0.3676], [0.1434, 0.5080, 0.6237]],
  "m_tot_mub_per_fu": 0.00,
  "dos_at_fermi_per_ev_cell": 17.60,
  "delta_e_f_kj_per_mol_atoms": 32.0
}

{
  "formula": "TaNb2Mo",
  "functional": "PBE-GGA",
  "state": "optimized geometry",
  "lattice_angstrom": [[-0.7712, 3.9347, -2.3105], [-3.8590, 2.4289, 0.7900], [0.2332, 4.0619, 2.2050]],
  "species": ["Nb", "Mo", "Ta", "Nb"],
  "fractional_positions": [[0.2500, 0.2500, 0.2500], [0.0000, 0.0000, 0.0000], [0.5000, 0.5000, 0.5000], [0.7500, 0.7500, 0.7500]],
  "m_tot_mub_per_fu": 0.00,
  "e_above_lowest_polymorph_ev_per_fu": 0.141,
  "dos_at_fermi_per_ev_cell": 4.87,
  "delta_e_f_kj_per_mol_atoms": -5.5
}

{
  "formula": "TaNb2Mo",
  "functional": "PBE-GGA",
  "state": "optimized geometry",
  "lattice_angstrom": [[7.3552, 0.0000, 0.0000], [0.0000, 7.3552, 0.0000], [3.6776, 3.6776, 2.7888]],
  "species": ["Mo", "Nb", "Nb", "Mo", "Ta", "Ta", "Nb", "Nb"],
  "fractional_positions": [[0.5000, 0.5000, 0.0000], [0.6081, 0.1250, 0.2500], [0.1419, 0.6250, 0.2500], [0.2500, 0.7500, 0.5000], [0.7500, 0.2500, 0.5000], [0.0000, 0.0000, 0.0000], [0.8750, 0.8581, 0.7500], [0.3750, 0.3919, 0.7500]],
  "m_tot_mub_per_fu": 0.00,
  "e_above_lowest_polymorph_ev_per_fu": 2.879,
  "dos_at_fermi_per_ev_cell": 7.63,
  "delta_e_f_kj_per_mol_atoms": 60.5
}

{
  "formula": "TaNbMo",
  "functional": "PBE-GGA",
  "state": "optimized geometry",
  "lattice_angstrom": [[7.1823, -0.0325, 0.0238], [6.4108, 2.7341, 0.0044], [0.7715, -0.8557, 2.6310]],
  "species": ["Ta", "Mo", "Nb"],
  "fractional_positions": [[0.6623, 0.6623, 0.3377], [0.0003, 0.0003, 0.9997], [0.3374, 0.3374, 0.6626]],
  "m_tot_mub_per_fu": 0.00,
  "e_above_lowest_polymorph_ev_per_fu": 0.134,
  "dos_at_fermi_per_ev_cell": 2.85,
  "delta_e_f_kj_per_mol_atoms": -8.8
}